Here is a geometry-optimized SrCo2As2O8 structure from Alexandria via LeMat-Bulk. Energies are from PBE+U.

- theoretical density (g cm⁻³) = 4.7
- energy above the lowest structure with this stoichiometry (meV/atom) = 231.1
- DOS at the Fermi energy (states/eV per atom) = 0.000

a b c (Å): 5.888 7.108 9.270
angles (deg): 106.40 108.49 97.66
Positions (direct):
Sr1 0.181 0.242 0.491
Sr2 0.819 0.758 0.509
Co1 0.077 0.790 0.912
Co2 0.343 0.225 0.915
Co3 0.657 0.775 0.085
Co4 0.923 0.210 0.088
As1 0.186 0.690 0.256
As2 0.475 0.836 0.727
As3 0.525 0.164 0.273
As4 0.814 0.310 0.744
O1 0.025 0.304 0.921
O2 0.134 0.860 0.408
O3 0.162 0.462 0.291
O4 0.227 0.927 0.776
O5 0.264 0.080 0.086
O6 0.346 0.614 0.901
O7 0.358 0.584 0.738
O8 0.479 0.779 0.263
O9 0.521 0.221 0.737
O10 0.642 0.416 0.262
O11 0.654 0.386 0.099
O12 0.736 0.920 0.914
O13 0.773 0.073 0.224
O14 0.838 0.538 0.709
O15 0.866 0.140 0.592
O16 0.975 0.696 0.079